Material: La4CuSi3
Method: DFT, PBE-GGA
State: relaxed

Results
symmetry	No. 25
spin magnetization	0.24	μB per cell
DFT total energy	-5.599	eV/atom
Fermi-level density of states	7.91	states/eV/cell
mass density	5.68	g/cm³

Cell: 4.456 4.064 11.362 Å, 90.00 90.00 90.00°
Site moments in Bohr magnetons follow the coordinates.
Atoms (fractional coordinates):
Si: 0.000 0.000 0.436  0.00
Si: 0.000 0.500 0.567  0.00
Si: 0.500 0.000 0.935  0.00
La: 0.500 0.000 0.643  -0.06
La: 0.000 0.500 0.860  -0.06
La: 0.500 0.500 0.361  0.01
La: 0.000 0.000 0.141  0.01
Cu: 0.500 0.500 0.057  0.00